# 1
This record from Alexandria via LeMat-Bulk describes Sr2CoAg after structural relaxation. The functional is GGA-PBE.

Cell: 4.4334 4.4334 23.3290 Å, 90.00 90.00 120.00°
Space group R3m (No. 160, hexagonal axes)
One atom of each set of equivalent atoms:
Sr: 0.0000 0.0000 0.0000 [3 per cell]
Sr: 0.0000 0.0000 0.1734 [3 per cell]
Co: 0.0000 0.0000 0.4196 [3 per cell]
Ag: 0.0000 0.0000 0.7536 [3 per cell]

Properties
DFT total energy ... -3.2005 eV per atom

---

# 2
This record from Alexandria via LeMat-Bulk describes SrCoAg2 after structural relaxation. The functional is GGA-PBE.

Cell: 4.9865 4.9865 17.5144 Å, 90.00 90.00 90.00°
Space group I-42d (No. 122)
One atom of each set of equivalent atoms:
Sr: 0.0000 0.0000 0.0000 [4 per cell]
Co: 0.0000 0.0000 0.5000 [4 per cell]
Ag: 0.0882 0.2500 0.6250 [8 per cell]

Properties
DFT total energy ... -3.2037 eV per atom
Offset from the most stable computed form ... 247.9 meV/atom

---

# 3
This record from Alexandria via LeMat-Bulk describes SrCoAg2 after structural relaxation. The functional is GGA-PBE.

Cell: 11.0730 3.4041 4.9044 Å, 90.00 116.18 90.00°
Space group C2/m (No. 12)
One atom of each set of equivalent atoms:
Sr: 0.0000 0.0000 0.0000 [2 per cell]
Co: 0.0000 0.5000 0.5000 [2 per cell]
Ag: 0.2128 0.0000 0.7128 [4 per cell]

Properties
DFT total energy ... -3.3113 eV per atom
Offset from the most stable computed form ... 140.3 meV/atom

---

# 4
This record from Alexandria via LeMat-Bulk describes SrCo2Ag after structural relaxation. The functional is GGA-PBE.

Cell: 4.5124 4.5124 18.4249 Å, 90.00 90.00 90.00°
Space group I4_1/amd (No. 141, origin choice 2)
One atom of each set of equivalent atoms:
Sr: 0.0000 0.2500 0.3750 [4 per cell]
Co: 0.0000 0.0000 0.0000 [8 per cell]
Ag: 0.0000 0.2500 0.8750 [4 per cell]

Properties
DFT total energy ... -4.1766 eV per atom

---

# 5
This record from Alexandria via LeMat-Bulk describes SrCoAg after structural relaxation. The functional is GGA-PBE.

Cell: 3.4791 3.6503 10.6753 Å, 90.00 90.00 90.00°
Space group Imm2 (No. 44)
One atom of each set of equivalent atoms:
Sr: 0.0000 0.0000 0.0000 [2 per cell]
Co: 0.0000 0.0000 0.2956 [2 per cell]
Ag: 0.0000 0.0000 0.7097 [2 per cell]

Properties
DFT total energy ... -3.4858 eV per atom

---

# 6
This record from Alexandria via LeMat-Bulk describes SrCoAg after structural relaxation. The functional is GGA-PBE.

Cell: 4.4518 4.4518 4.2709 Å, 90.00 90.00 120.00°
Space group P-6m2 (No. 187)
One atom of each set of equivalent atoms:
Sr: 0.0000 0.0000 0.0000 [1 per cell]
Co: 0.6667 0.3333 0.5000 [1 per cell]
Ag: 0.3333 0.6667 0.5000 [1 per cell]

Properties
DFT total energy ... -3.6039 eV per atom

---

# 7
This record from Alexandria via LeMat-Bulk describes Sr2CoAg after structural relaxation. The functional is GGA-PBE.

Cell: 4.5000 4.5000 6.3562 Å, 90.00 90.00 90.00°
Space group P4mm (No. 99)
One atom of each set of equivalent atoms:
Sr: 0.0000 0.0000 0.0000 [1 per cell]
Sr: 0.5000 0.5000 0.4956 [1 per cell]
Co: 0.5000 0.5000 0.9955 [1 per cell]
Ag: 0.0000 0.0000 0.5011 [1 per cell]

Properties
DFT total energy ... -2.9457 eV per atom

---

# 8
This record from Alexandria via LeMat-Bulk describes SrCoAg2 after structural relaxation. The functional is GGA-PBE.

Cell: 4.2754 4.2754 9.1465 Å, 90.00 90.00 90.00°
Space group I4/mmm (No. 139)
One atom of each set of equivalent atoms:
Sr: 0.0000 0.0000 0.0000 [2 per cell]
Co: 0.0000 0.0000 0.5000 [2 per cell]
Ag: 0.0000 0.5000 0.2500 [4 per cell]

Properties
DFT total energy ... -3.2618 eV per atom
Offset from the most stable computed form ... 189.8 meV/atom

---

no.,DFT formation energy (kJ/mol of atoms)
1,12.51
2,40.41
3,30.03
4,49.17
5,38.00
6,26.60
7,37.09
8,34.81